DFT (GGA+U) results for NaBeCrF6 after structural relaxation.

a b c (Å): 4.9355 4.9355 9.9674
angles (deg): 90.00 90.00 120.00
Closest atoms and distances in Å follow each position.
Space group P-31c (No. 163)
Inequivalent atoms, fractional coordinates:
Na1 0.0000 0.0000 0.0000  6 F 2.34
Be1 0.3333 0.6667 0.2500  6 F 1.79
Cr1 0.3333 0.6667 0.7500  6 F 1.95
F1 0.0250 0.3794 0.1487  1 Be 1.79, 1 Cr 1.95

Properties
The calculation puts the size of the total moment at 6.00 μB/cell. The calculated total energy comes out at -5.50 eV per atom. The density of states at the Fermi level is 0.00 states/eV per atom.